No. 1
Er3CuSe6 | PBE | optimized geometry

extended XYZ file:
```
20
Lattice="6.906 0.000 0.000 0.000 8.532 0.376 0.000 -1.538 8.401" Properties=species:S:1:pos:R:3 pbc="T T T"
Er 6.769 0.269 2.369
Se 1.274 2.728 2.689
Se 4.809 7.076 4.008
Se 1.356 2.328 7.792
Cu 3.619 6.433 2.049
Er 6.113 4.543 3.555
Se 1.356 -0.081 4.769
Se 4.809 4.667 0.985
Se 4.645 0.651 6.657
Er 6.769 4.745 7.986
Se 1.251 -1.159 8.099
Se 4.727 2.013 3.259
Cu 0.166 0.562 6.728
Se 1.274 4.982 5.518
Er 3.317 6.726 6.407
Se 1.192 6.344 2.120
Se 4.727 4.267 6.087
Er 3.317 2.249 0.791
Se 4.704 8.154 0.678
Er 2.660 2.451 5.222
```

Output
calculated total energy: -103.84 eV for the cell shown
formation energy (no corrections): -1323 meV per atom

No. 2
Er4CuSe2 | PBE | optimized geometry

extended XYZ file:
```
14
Lattice="3.908 0.000 0.000 -1.954 6.429 0.000 0.000 0.000 13.825" Properties=species:S:1:pos:R:3 pbc="T T T"
Se 0.000 1.810 6.033
Se 1.954 4.619 12.945
Cu 0.000 5.001 3.456
Se 0.000 1.810 0.879
Er 1.954 5.811 10.368
Er 0.000 2.768 12.058
Er 1.954 0.000 6.912
Er 1.954 3.660 5.146
Er 1.954 0.000 0.000
Er 1.954 3.660 1.767
Er 0.000 0.618 3.456
Er 0.000 2.768 8.679
Se 1.954 4.619 7.792
Cu 1.954 1.428 10.368
```

Output
calculated total energy: -72.89 eV for the cell shown
formation energy (no corrections): -1019 meV per atom

No. 3
Er5Cu2Se2 | PBE | optimized geometry

extended XYZ file:
```
18
Lattice="-3.572 -1.756 6.374 -5.911 -2.226 -3.926 1.002 -7.716 2.866" Properties=species:S:1:pos:R:3 pbc="T T T"
Cu -6.499 -2.600 -1.070
Se -2.442 -4.529 6.244
Cu -6.806 -2.921 3.100
Se -0.129 -4.943 2.996
Er 0.000 0.000 0.000
Er -4.267 -4.029 3.901
Cu -2.678 -1.061 -0.652
Er -6.612 -4.842 0.848
Er -4.742 -1.991 1.224
Cu -2.984 -1.382 3.518
Er -4.735 -8.140 6.936
Er -3.747 -3.557 -1.622
Er -1.870 -6.856 4.466
Er -7.080 -8.953 3.883
Se -4.871 -6.934 4.220
Er -1.402 -2.745 1.430
Er -4.215 -7.668 1.413
Se -3.611 -4.763 1.094
```

Output
calculated total energy: -90.79 eV for the cell shown
formation energy (no corrections): -824 meV per atom

No. 4
ErCu2Se3 | PBE | optimized geometry

extended XYZ file:
```
12
Lattice="-3.223 -2.229 0.251 0.886 -1.973 -6.139 5.765 -7.863 4.201" Properties=species:S:1:pos:R:3 pbc="T T T"
Cu -1.404 -3.482 -2.867
Cu 0.056 -5.091 1.589
Se 1.297 -7.287 -1.977
Se 3.865 -6.999 2.836
Cu 3.371 -6.974 -3.276
Se 3.157 -9.764 -0.082
Cu 4.831 -8.583 1.180
Er 1.657 -4.441 -2.793
Se -0.437 -5.065 -4.523
Se 0.270 -2.301 -1.605
Er 1.770 -7.624 1.106
Se 2.131 -4.778 0.290
```

Output
calculated total energy: -55.80 eV for the cell shown
formation energy (no corrections): -782 meV per atom

No. 5
ErCuSe2 | PBE | optimized geometry

extended XYZ file:
```
4
Lattice="3.902 0.000 0.000 1.951 3.379 0.000 1.951 1.126 6.465" Properties=species:S:1:pos:R:3 pbc="T T T"
Se 1.951 1.126 5.038
Se 1.951 1.126 1.490
Er 3.902 2.253 3.231
Cu 5.853 3.379 6.404
```

Output
calculated total energy: -19.63 eV for the cell shown
formation energy (no corrections): -999 meV per atom

No. 6
ErCuSe2 | PBE | optimized geometry

extended XYZ file:
```
4
Lattice="4.218 0.000 0.000 2.109 3.653 0.000 2.109 1.218 7.500" Properties=species:S:1:pos:R:3 pbc="T T T"
Er 4.218 2.435 3.750
Se 6.327 3.653 2.262
Cu 0.000 0.000 0.000
Se 2.109 1.218 5.238
```

Output
calculated total energy: -20.09 eV for the cell shown
formation energy (no corrections): -1115 meV per atom

No. 7
Er2Cu2Se | PBE | optimized geometry

extended XYZ file:
```
5
Lattice="3.869 -0.010 -1.265 -2.141 3.462 -0.026 0.347 0.273 7.610" Properties=species:S:1:pos:R:3 pbc="T T T"
Se 0.000 0.000 0.000
Er -0.338 2.226 5.498
Cu 0.955 3.006 2.898
Er 2.413 1.499 0.821
Cu 1.120 0.719 3.421
```

Output
calculated total energy: -24.96 eV for the cell shown
formation energy (no corrections): -832 meV per atom

No. 8
ErCuSe2 | PBE | optimized geometry

extended XYZ file:
```
16
Lattice="-0.415 -3.279 2.420 4.951 -2.922 -3.110 8.974 5.555 9.068" Properties=species:S:1:pos:R:3 pbc="T T T"
Er 5.410 1.001 7.486
Se 5.002 -0.658 5.168
Se 4.006 -2.757 -1.315
Er 10.246 2.513 6.896
Se 10.463 -0.230 6.683
Se 9.504 2.111 9.692
Cu 0.957 -0.960 0.597
Er 3.264 -3.158 1.481
Se 7.453 2.410 6.279
Se 8.508 0.012 3.210
Se 6.057 -3.056 2.099
Cu 6.908 -1.780 3.974
Er 8.100 -1.647 0.892
Cu 12.552 0.315 7.781
Se 3.047 -0.415 1.694
Cu 6.601 1.135 4.404
```

Output
calculated total energy: -81.84 eV for the cell shown
formation energy (no corrections): -1208 meV per atom

No. 9
ErCuSe2 | PBE | optimized geometry

extended XYZ file:
```
4
Lattice="4.076 0.000 0.000 -2.038 3.530 0.000 0.000 0.000 6.417" Properties=species:S:1:pos:R:3 pbc="T T T"
Se 2.038 1.177 1.625
Er 0.000 0.000 3.132
Se 0.000 2.354 4.867
Cu 2.038 1.177 5.595
```

Output
calculated total energy: -20.48 eV for the cell shown
formation energy (no corrections): -1212 meV per atom

No. 10
Er2CuSe3 | PBE | optimized geometry

extended XYZ file:
```
6
Lattice="3.751 0.000 0.000 0.000 4.473 0.000 -1.875 -2.237 8.008" Properties=species:S:1:pos:R:3 pbc="T T T"
Er 1.875 2.237 2.241
Se 1.875 2.237 5.149
Cu 0.000 0.000 0.000
Se 0.000 0.000 2.859
Er 0.000 0.000 5.767
Se 0.000 2.237 0.000
```

Output
calculated total energy: -31.30 eV for the cell shown
formation energy (no corrections): -1271 meV per atom

No. 11
ErCu3Se3 | PBE | optimized geometry

extended XYZ file:
```
14
Lattice="-3.065 -5.313 3.339 3.664 -3.863 4.519 -1.528 0.999 7.490" Properties=species:S:1:pos:R:3 pbc="T T T"
Cu -1.332 -3.293 5.602
Se 1.384 -2.598 9.369
Er 0.398 -6.112 5.245
Se 1.178 -6.483 7.969
Se -2.005 -4.841 10.035
Se 1.077 -3.337 5.313
Se -2.313 -5.580 5.979
Cu -2.839 -3.964 7.828
Cu 0.403 -4.885 9.746
Er -1.326 -2.066 10.103
Cu 1.911 -4.214 7.520
Se -2.107 -1.695 7.379
Cu 0.399 -1.906 7.263
Cu -1.328 -6.272 8.085
```

Output
calculated total energy: -64.85 eV for the cell shown
formation energy (no corrections): -731 meV per atom

No. 12
Er4CuSe3 | PBE | optimized geometry

extended XYZ file:
```
8
Lattice="3.930 0.000 0.000 0.000 6.713 -2.231 0.000 -0.001 7.074" Properties=species:S:1:pos:R:3 pbc="T T T"
Se 0.000 0.000 3.537
Se 1.965 3.356 2.421
Er 0.000 1.579 1.139
Er 0.000 5.133 3.704
Se 0.000 3.356 -1.115
Er 1.965 1.634 4.808
Er 1.965 5.078 0.035
Cu 1.965 0.000 0.000
```

Output
calculated total energy: -43.56 eV for the cell shown
formation energy (no corrections): -1345 meV per atom

calculated total energy of number 8 (ErCuSe2)?
-81.84 eV for the cell shown

Which value of calculated total energy does entry 8 give?
-81.84 eV for the cell shown

What did the tenth record say?
Er2CuSe3 | PBE | optimized geometry

extended XYZ file:
```
6
Lattice="3.751 0.000 0.000 0.000 4.473 0.000 -1.875 -2.237 8.008" Properties=species:S:1:pos:R:3 pbc="T T T"
Er 1.875 2.237 2.241
Se 1.875 2.237 5.149
Cu 0.000 0.000 0.000
Se 0.000 0.000 2.859
Er 0.000 0.000 5.767
Se 0.000 2.237 0.000
```

Output
calculated total energy: -31.30 eV for the cell shown
formation energy (no corrections): -1271 meV per atom

Please write out number 11 again, unchanged.
ErCu3Se3 | PBE | optimized geometry

extended XYZ file:
```
14
Lattice="-3.065 -5.313 3.339 3.664 -3.863 4.519 -1.528 0.999 7.490" Properties=species:S:1:pos:R:3 pbc="T T T"
Cu -1.332 -3.293 5.602
Se 1.384 -2.598 9.369
Er 0.398 -6.112 5.245
Se 1.178 -6.483 7.969
Se -2.005 -4.841 10.035
Se 1.077 -3.337 5.313
Se -2.313 -5.580 5.979
Cu -2.839 -3.964 7.828
Cu 0.403 -4.885 9.746
Er -1.326 -2.066 10.103
Cu 1.911 -4.214 7.520
Se -2.107 -1.695 7.379
Cu 0.399 -1.906 7.263
Cu -1.328 -6.272 8.085
```

Output
calculated total energy: -64.85 eV for the cell shown
formation energy (no corrections): -731 meV per atom